In2BiH2 | GGA-PBE | optimized geometry

Cell lengths 9.092, 5.470, 5.499 Å; angles 90.00, 127.06, 90.00 degrees
Space group C2/m (No. 12)
One atom of each set of equivalent atoms:
In  0.249  0.000  0.249 x4
Bi  0.000  0.000  0.500 x2
H  0.052  0.500  0.045 x4

## Properties
The calculation puts the distance to the lowest polymorph of the same formula at 0 meV/atom. The value obtained for the magnetization is 0.00 μB/f.u.


Hf4GaGe | GGA-PBE | optimized geometry

Cell lengths 6.676, 6.676, 5.287 Å; angles 90.00, 90.00, 90.00 degrees
Space group P4/mcc (No. 124)
One atom of each set of equivalent atoms:
Hf  0.154  0.346  0.000 x8
Ga  0.000  0.000  0.250 x2
Ge  0.500  0.500  0.250 x2

## Properties
Its energy relative to the elements is -309 kJ/mol of formula units. The calculation puts the distance to the lowest polymorph of the same formula at 0 meV/atom. The value obtained for the magnetization is 0.00 μB/f.u.


Cd2GaTe2 | GGA-PBE | optimized geometry

Cell lengths 4.405, 4.405, 15.318 Å; angles 90.00, 90.00, 90.00 degrees
Space group I4/mmm (No. 139)
One atom of each set of equivalent atoms:
Cd  0.000  0.500  0.250 x4
Ga  0.000  0.000  0.000 x2
Te  0.000  0.000  0.388 x4

## Properties
Its formation energy without anion corrections is -0.040 eV per atom. The calculation puts the distance to the lowest polymorph of the same formula at 13 meV/atom. The value obtained for the magnetization is 0.00 μB/f.u.


Tm6ZnPd2 | GGA-PBE | optimized geometry

Cell lengths 9.341, 9.457, 10.108 Å; angles 90.00, 90.00, 90.00 degrees
Space group Immm (No. 71)
One atom of each set of equivalent atoms:
Tm  0.000  0.191  0.241 x8
Tm  0.204  0.500  0.171 x8
Tm  0.220  0.321  0.500 x8
Zn  0.000  0.000  0.000 x2
Zn  0.000  0.000  0.500 x2
Pd  0.000  0.341  0.000 x4
Pd  0.000  0.500  0.366 x4

## Properties
Its energy relative to the elements is -441 kJ/mol of formula units. The value obtained for the magnetization is 0.00 μB/f.u.


La3Y2Tm6Sc | GGA-PBE | optimized geometry

Cell lengths 6.154, 10.659, 11.710 Å; angles 90.00, 100.08, 90.00 degrees
Space group C2/m (No. 12)
One atom of each set of equivalent atoms:
La  0.000  0.000  0.000 x2
La  0.000  0.333  0.000 x4
Y  0.000  0.166  0.500 x4
Tm  0.245  0.335  0.743 x8
Tm  0.250  0.000  0.743 x4
Sc  0.000  0.500  0.500 x2

## Properties
Its energy relative to the elements is 45 kJ/mol of formula units. The value obtained for the magnetization is 0.00 μB/f.u.


LaEr2Re | GGA-PBE | optimized geometry

Cell lengths 3.2345, 3.2345, 34.3566 Å; angles 90.00, 90.00, 120.00 degrees
Space group R-3m (No. 166, hexagonal axes)
One atom of each set of equivalent atoms:
La  0.0000  0.0000  0.0000 x3
Er  0.0000  0.0000  0.4226 x6
Re  0.0000  0.0000  0.5000 x3

## Properties
Its energy relative to the elements is 310 kJ/mol of formula units. The value obtained for the magnetization is 0.35 μB/f.u.


HoPaRu2 | GGA-PBE | optimized geometry

Cell lengths 3.449, 3.449, 6.793 Å; angles 90.00, 90.00, 90.00 degrees
Space group P4/mmm (No. 123)
One atom of each set of equivalent atoms:
Ho  0.000  0.000  0.000 x1
Pa  0.000  0.000  0.500 x1
Ru  0.500  0.500  0.278 x2

## Properties
Its energy relative to the elements is -193 kJ/mol of formula units. The value obtained for the magnetization is 0.00 μB/f.u.


Li4Sn2Hg | GGA-PBE | optimized geometry

Cell lengths 9.422, 4.509, 8.667 Å; angles 90.00, 122.68, 90.00 degrees
Space group C2/m (No. 12)
One atom of each set of equivalent atoms:
Li  0.129  0.000  0.347 x4
Li  0.197  0.000  0.711 x4
Sn  0.178  0.000  0.043 x4
Hg  0.000  0.500  0.500 x2

## Properties
Its energy relative to the elements is -128 kJ/mol of formula units. The calculation puts the distance to the lowest polymorph of the same formula at 0 meV/atom. The value obtained for the magnetization is 0.00 μB/f.u.


Mo2C3 | GGA-PBE | optimized geometry

Cell lengths 3.0746, 3.0746, 24.7042 Å; angles 90.00, 90.00, 120.00 degrees
Space group R-3m (No. 166, hexagonal axes)
One atom of each set of equivalent atoms:
Mo  0.0000  0.0000  0.1111 x6
C  0.0000  0.0000  0.2629 x6
C  0.0000  0.0000  0.5000 x3

## Properties
Its energy relative to the elements is 487 kJ/mol of formula units. The calculation puts the distance to the lowest polymorph of the same formula at 227 meV/atom. The value obtained for the magnetization is 0.00 μB/f.u.


Mg3CuPd | GGA-PBE | optimized geometry

Cell lengths 4.925, 4.925, 4.925 Å; angles 90.00, 90.00, 90.00 degrees
Space group Pm-3m (No. 221)
One atom of each set of equivalent atoms:
Mg  0.000  0.000  0.500 x3
Cu  0.500  0.500  0.500 x1
Pd  0.000  0.000  0.000 x1

## Properties
Its energy relative to the elements is 66 kJ/mol of formula units. The calculation puts the distance to the lowest polymorph of the same formula at 488 meV/atom. The value obtained for the magnetization is 0.00 μB/f.u.


InSn4Pb3 | GGA-PBE | optimized geometry

Cell lengths 3.455, 4.845, 14.257 Å; angles 90.00, 90.00, 90.00 degrees
Space group Pmm2 (No. 25)
One atom of each set of equivalent atoms:
In  0.000  0.000  0.000 x1
Sn  0.000  0.000  0.224 x1
Sn  0.000  0.500  0.612 x1
Sn  0.500  0.000  0.732 x1
Sn  0.500  0.500  0.102 x1
Pb  0.000  0.500  0.845 x1
Pb  0.500  0.000  0.502 x1
Pb  0.500  0.500  0.334 x1

## Properties
Its energy relative to the elements is 51 kJ/mol of formula units. The value obtained for the magnetization is 0.00 μB/f.u.


CePuU2N4 | GGA-PBE | optimized geometry

Cell lengths 6.025, 3.476, 6.037 Å; angles 90.00, 109.58, 90.00 degrees
Space group P2/m (No. 10)
One atom of each set of equivalent atoms:
Ce  0.000  0.000  0.000 x1
Pu  0.000  0.500  0.500 x1
U  0.500  0.000  0.500 x1
U  0.500  0.500  0.000 x1
N  0.274  0.000  0.755 x2
N  0.277  0.500  0.262 x2

## Properties
Its formation energy without anion corrections is -1.367 eV per atom. The value obtained for the magnetization is 3.54 μB/f.u.


LiNiCl | GGA-PBE | optimized geometry

Cell lengths 3.244, 3.244, 9.131 Å; angles 90.00, 90.00, 90.00 degrees
Space group P4/nmm (No. 129, origin choice 2)
One atom of each set of equivalent atoms:
Li  0.250  0.250  0.249 x2
Ni  0.250  0.250  0.553 x2
Cl  0.250  0.250  0.815 x2

## Properties
Its formation energy without anion corrections is -0.725 eV per atom. The calculation puts the distance to the lowest polymorph of the same formula at 0 meV/atom. The value obtained for the magnetization is 0.82 μB/f.u.


InWAu2 | GGA-PBE | optimized geometry

Cell lengths 9.544, 2.947, 5.301 Å; angles 90.00, 101.42, 90.00 degrees
Space group Cm (No. 8)
One atom of each set of equivalent atoms:
In  0.000  0.000  0.000 x2
W  0.254  0.000  0.729 x2
Au  0.007  0.500  0.514 x2
Au  0.249  0.500  0.247 x2

## Properties
Its energy relative to the elements is 151 kJ/mol of formula units. The value obtained for the magnetization is 0.00 μB/f.u.


TbPmDyTl | GGA-PBE | optimized geometry

Cell lengths 7.786, 7.786, 7.786 Å; angles 90.00, 90.00, 90.00 degrees
Space group F-43m (No. 216)
One atom of each set of equivalent atoms:
Tb  0.000  0.000  0.000 x4
Pm  0.250  0.250  0.250 x4
Dy  0.000  0.000  0.500 x4
Tl  0.250  0.250  0.750 x4

## Properties
Its energy relative to the elements is -5 kJ/mol of formula units. The calculation puts the distance to the lowest polymorph of the same formula at 174 meV/atom. The value obtained for the magnetization is 1.53 μB/f.u.


CdCoTe2 | GGA-PBE | optimized geometry

Cell lengths 3.932, 3.939, 7.836 Å; angles 90.00, 90.00, 90.00 degrees
Space group Pmmm (No. 47)
One atom of each set of equivalent atoms:
Cd  0.000  0.000  0.000 x1
Co  0.000  0.500  0.500 x1
Te  0.500  0.000  0.500 x1
Te  0.500  0.500  0.000 x1

## Properties
Its formation energy without anion corrections is 0.440 eV per atom. The value obtained for the magnetization is 2.35 μB/f.u.


Na2InGaSe4 | GGA-PBE | optimized geometry

Cell lengths 6.715, 6.715, 10.456 Å; angles 90.00, 90.00, 90.00 degrees
Space group I-4 (No. 82)
One atom of each set of equivalent atoms:
Na  0.000  0.000  0.000 x2
Na  0.000  0.500  0.250 x2
In  0.000  0.000  0.500 x2
Ga  0.000  0.500  0.750 x2
Se  0.204  0.737  0.631 x8

## Properties
Its formation energy without anion corrections is -0.841 eV per atom. The value obtained for the magnetization is 0.00 μB/f.u.


Nd2Al4Ga3Ag | GGA-PBE | optimized geometry

Cell lengths 4.299, 4.299, 10.931 Å; angles 90.00, 90.00, 90.00 degrees
Space group P-4m2 (No. 115)
One atom of each set of equivalent atoms:
Nd  0.000  0.500  0.250 x2
Al  0.000  0.000  0.000 x1
Al  0.000  0.500  0.634 x2
Al  0.500  0.500  0.000 x1
Ga  0.000  0.500  0.862 x2
Ga  0.500  0.500  0.500 x1
Ag  0.000  0.000  0.500 x1

## Properties
Its energy relative to the elements is -414 kJ/mol of formula units. The value obtained for the magnetization is 0.00 μB/f.u.


Hf2ZnAuF | GGA-PBE | optimized geometry

Cell lengths 5.241, 5.241, 4.262 Å; angles 90.00, 90.00, 90.00 degrees
Space group P4/mmm (No. 123)
One atom of each set of equivalent atoms:
Hf  0.000  0.500  0.000 x2
Zn  0.000  0.000  0.500 x1
Au  0.500  0.500  0.000 x1
F  0.500  0.500  0.500 x1

## Properties
Its formation energy without anion corrections is 0.551 eV per atom. The value obtained for the magnetization is 0.00 μB/f.u.


TmLuU | GGA-PBE | optimized geometry

Cell lengths 5.5005, 5.5005, 3.1252 Å; angles 90.00, 90.00, 120.00 degrees
Space group P-6m2 (No. 187)
One atom of each set of equivalent atoms:
Tm  0.0000  0.0000  0.0000 x1
Lu  0.3333  0.6667  0.0000 x1
U  0.6667  0.3333  0.5000 x1

## Properties
Its energy relative to the elements is 113 kJ/mol of formula units. The value obtained for the magnetization is 2.96 μB/f.u.


RbMg3Os | GGA-PBE | optimized geometry

Cell lengths 5.219, 5.219, 5.219 Å; angles 90.00, 90.00, 90.00 degrees
Space group Pm-3m (No. 221)
One atom of each set of equivalent atoms:
Rb  0.000  0.000  0.000 x1
Mg  0.000  0.000  0.500 x3
Os  0.500  0.500  0.500 x1

## Properties
Its energy relative to the elements is 1172 kJ/mol of formula units. The calculation puts the distance to the lowest polymorph of the same formula at 2048 meV/atom. The value obtained for the magnetization is 0.00 μB/f.u.


Al2IrN | GGA-PBE | optimized geometry

Cell lengths 5.488, 5.488, 7.477 Å; angles 90.00, 90.00, 90.00 degrees
Space group I-42d (No. 122)
One atom of each set of equivalent atoms:
Al  0.163  0.250  0.125 x8
Ir  0.000  0.000  0.500 x4
N  0.000  0.000  0.000 x4

## Properties
Its formation energy without anion corrections is -0.420 eV per atom. The value obtained for the magnetization is 0.00 μB/f.u.


BaMgP | GGA-PBE | optimized geometry

Cell lengths 4.4396, 4.4396, 4.9703 Å; angles 90.00, 90.00, 120.00 degrees
Space group P-6m2 (No. 187)
One atom of each set of equivalent atoms:
Ba  0.0000  0.0000  0.0000 x1
Mg  0.6667  0.3333  0.5000 x1
P  0.3333  0.6667  0.5000 x1

## Properties
Its energy relative to the elements is -207 kJ/mol of formula units. The calculation puts the distance to the lowest polymorph of the same formula at 40 meV/atom. The value obtained for the magnetization is 0.87 μB/f.u.


KAc2OsO8 | GGA-PBE | optimized geometry

Cell lengths 4.474, 5.439, 7.664 Å; angles 90.00, 105.76, 90.00 degrees
Space group P2/m (No. 10)
One atom of each set of equivalent atoms:
K  0.000  0.000  0.000 x1
Ac  0.378  0.500  0.712 x2
Os  0.000  0.000  0.500 x1
O  0.165  0.500  0.997 x2
O  0.190  0.258  0.397 x4
O  0.330  0.000  0.718 x2

## Properties
Its formation energy without anion corrections is -2.008 eV per atom. The value obtained for the magnetization is 0.84 μB/f.u.


NaCd8In6 | GGA-PBE | optimized geometry

Cell lengths 8.7679, 8.7679, 5.9007 Å; angles 90.00, 90.00, 120.00 degrees
Space group P-3 (No. 147)
One atom of each set of equivalent atoms:
Na  0.0000  0.0000  0.0000 x1
Cd  0.0073  0.3273  0.5591 x6
Cd  0.3333  0.6667  0.4049 x2
In  0.1428  0.7080  0.9452 x6

## Properties
Its energy relative to the elements is 24 kJ/mol of formula units. The value obtained for the magnetization is 0.00 μB/f.u.


AcPmTmSc | GGA-PBE | optimized geometry

Cell lengths 8.096, 8.096, 8.096 Å; angles 90.00, 90.00, 90.00 degrees
Space group F-43m (No. 216)
One atom of each set of equivalent atoms:
Ac  0.000  0.000  0.000 x4
Pm  0.000  0.000  0.500 x4
Tm  0.250  0.250  0.750 x4
Sc  0.250  0.250  0.250 x4

## Properties
Its energy relative to the elements is 41 kJ/mol of formula units. The value obtained for the magnetization is 0.00 μB/f.u.